[1]
## Th2Ga3Ir (PBE)

Data for Th2Ga3Ir after structural relaxation.

Values from the calculation:
SG: Fmmm (69)
DOS(E_F): 5.5 states/eV/f.u.
E_form: -68.6 kJ per mole of atoms
Raw total energy: -6.174 eV/atom
Calculated density: 10.86 g cm⁻³

Cell lengths 5.9298, 5.9298, 8.5438 Å; angles 108.18, 108.18, 95.79 degrees
Atoms (fractional coordinates):
Th  0.2670  0.2670  0.0000
Ir  0.3341  0.3341  0.6681
Th  0.2500  0.7500  0.5000
Ga  0.8341  0.8341  0.6683
Ga  0.3284  0.8377  0.1662
Th  0.7500  0.2500  0.5000
Ga  0.8377  0.3284  0.1662
Ir  0.6659  0.6659  0.3319
Th  0.7330  0.7330  0.0000
Ga  0.1623  0.6716  0.8338
Ga  0.6716  0.1623  0.8338
Ga  0.1659  0.1659  0.3317

---

[2]
## CsCeF2 (PBE)

Data for CsCeF2 after structural relaxation.

Values from the calculation:
SG: R-3m (166)
Raw formation energy: -2268 meV per atom
DOS(E_F): 5.4 states/eV/f.u.
Raw total energy: -4.901 eV/atom
Calculated density: 6.10 g cm⁻³

Cell lengths 3.5686, 3.5686, 7.9522 Å; angles 77.03, 77.03, 60.00 degrees
Atoms (fractional coordinates):
Cs  0.5000  0.5000  0.5000
F  0.2584  0.2584  0.2248
F  0.7416  0.7416  0.7752
Ce  0.0000  0.0000  0.0000

---

Among the records above, which one has the lowest DOS(E_F)? CsCeF2